Crystalline ErPuTe3 at its relaxed geometry, computed with PBE-GGA.

a b c (Å): 4.3708 8.2177 17.0131
angles (deg): 90.00 90.00 90.00
Fractional coordinates of all 20 atoms:
Pu1 0.7500 0.6340 0.7950
Pu2 0.7500 0.1340 0.7050
Pu3 0.2500 0.3660 0.2050
Pu4 0.2500 0.8660 0.2950
Te1 0.7500 0.3799 0.0654
Te2 0.2500 0.1201 0.5654
Te3 0.2500 0.8480 0.7187
Te4 0.2500 0.3480 0.7813
Te5 0.7500 0.5048 0.6063
Te6 0.7500 0.8799 0.4346
Te7 0.7500 0.6520 0.2187
Te8 0.2500 0.6201 0.9346
Te9 0.2500 0.4952 0.3937
Te10 0.7500 0.0048 0.8937
Te11 0.7500 0.1520 0.2813
Te12 0.2500 0.9952 0.1063
Er1 0.7500 0.2679 0.4583
Er2 0.2500 0.7321 0.5417
Er3 0.2500 0.2321 0.9583
Er4 0.7500 0.7679 0.0417

Output
N(E_F), states/eV/atom: 2.01
Magnetization, μB/atom: 1.000
Uncorrected formation energy, eV per atom: -1.17
Mass density, kg/m³: 8631